! MnCoPSe (GGA-PBE, optimized geometry); values from VASP
! energy relative to the lowest polymorph listed for this composition	62.3	meV/atom
! space group	R3m
! E_form (uncorrected)	-1.26	eV/f.u.
! magnetization	0.960	μB per formula unit
&SYSTEM
  ibrav = 0, nat = 12, ntyp = 4
/
ATOMIC_SPECIES
Co 58.93 Co.upf
Mn 54.94 Mn.upf
Se 78.96 Se.upf
P 30.97 P.upf
CELL_PARAMETERS angstrom
-1.5623 2.0874 -1.9003
0.2826 -3.0892 -0.8868
-16.4465 -4.0947 9.0227
ATOMIC_POSITIONS angstrom
Co -4.8742 -2.4944 1.2670
Co -16.4534 -3.4986 6.9443
Co -10.0240 -2.4957 5.4993
Mn -7.8360 -1.9509 4.2989
Mn -14.2655 -2.9539 5.7440
Mn -2.6862 -1.9497 0.0667
Se -12.0217 -2.9930 6.5953
Se -6.8719 -2.9918 2.3630
Se -2.0047 0.0986 -0.9824
P -9.4151 -3.6250 3.7582
P -14.5649 -3.6262 7.9905
P -4.5479 -0.5345 0.4128